# DyPaSnPd

A geometry-optimized DyPaSnPd structure (PBE, Alexandria via LeMat-Bulk).

Its space group is F-43m (216). Its spin magnetization is 2.04 μB per cell. For the formation enthalpy at 0 K, the calculation gives -1.3 eV/f.u.

a = 5.179 Å, b = 5.179 Å, c = 5.179 Å
α = 60.00°, β = 60.00°, γ = 60.00°
Element x y z (fractional)
Dy 0.000 0.000 0.000
Pa 0.500 0.500 0.500
Pd 0.750 0.750 0.750
Sn 0.250 0.250 0.250